Entry from Alexandria: MgZnRe after structural relaxation (PBE).

The structure in POSCAR format:
```
MgZnRe
1.0
-1.352 1.352 6.501
1.352 -1.352 6.501
1.352 1.352 -6.501
Mg Zn Re
1 1 1
direct
0.000 0.000 0.000 Mg
0.674 0.674 0.000 Zn
0.331 0.331 0.000 Re
```

As for the size of the total moment: 0.000 μB/f.u. For the energy of formation, the calculation gives 274 meV per atom. The value obtained for the density of states at the Fermi level is 2.053 states/eV/cell. The volume is 15.84 A^3/atom. The energy above the lowest structure with this stoichiometry comes out at 217 meV/atom.